No. 1
Material: RbHI2
Method: DFT, PBE-GGA
State: optimized geometry

Computed properties:
Density of states at the Fermi level, states/eV/f.u.: 0.00
Relative energy among the computed polymorphs, meV/atom: 6
Total moment, μB/f.u.: 0.000
Energy, eV/atom: -2.59

abc: 11.7051 6.2027 10.9951
angles: 90.00 117.25 90.00
Space group C2/c (No. 15)
Asymmetric unit:
Rb  0.2500  0.2500  0.0000 (multiplicity 4)
H  0.0000  0.0000  0.0000 (multiplicity 4)
I  0.1179  0.2184  0.6136 (multiplicity 8)

No. 2
Material: RbNa2Te4As
Method: DFT, PBE-GGA
State: optimized geometry

Computed properties:
Density of states at the Fermi level, states/eV/f.u.: 0.89
Total moment, μB/f.u.: 0.000
Energy, eV/atom: -3.00

abc: 7.7419 10.5500 13.5766
angles: 90.00 90.00 90.00
Space group Imma (No. 74)
Asymmetric unit:
Rb  0.0000  0.0000  0.0000 (multiplicity 4)
Na  0.0000  0.0000  0.5000 (multiplicity 4)
Na  0.2500  0.2500  0.2500 (multiplicity 4)
Te  0.0000  0.0356  0.7451 (multiplicity 8)
Te  0.1881  0.2500  0.5305 (multiplicity 8)
As  0.2500  0.2500  0.7500 (multiplicity 4)

No. 3
Material: KHgH3
Method: DFT, PBE-GGA
State: optimized geometry

Computed properties:
Density of states at the Fermi level, states/eV/f.u.: 0.00
Relative energy among the computed polymorphs, meV/atom: 0
Total moment, μB/f.u.: 0.000
Energy, eV/atom: -2.29

abc: 5.4622 10.6084 5.7747
angles: 90.00 90.00 90.00
Space group Pnma (No. 62)
Asymmetric unit:
K  0.0000  0.0000  0.0000 (multiplicity 4)
Hg  0.0106  0.2500  0.4790 (multiplicity 4)
H  0.0174  0.5941  0.4418 (multiplicity 8)
H  0.1692  0.7500  0.8233 (multiplicity 4)

No. 4
Material: LiMgTlHg
Method: DFT, PBE-GGA
State: optimized geometry

Computed properties:
Density of states at the Fermi level, states/eV/f.u.: 1.72
Total moment, μB/f.u.: 0.000
Energy, eV/atom: -1.75
Formation energy, meV per atom: -204

abc: 7.0096 7.0096 7.0096
angles: 90.00 90.00 90.00
Space group F-43m (No. 216)
Asymmetric unit:
Li  0.0000  0.0000  0.0000 (multiplicity 4)
Mg  0.0000  0.0000  0.5000 (multiplicity 4)
Tl  0.2500  0.2500  0.2500 (multiplicity 4)
Hg  0.2500  0.2500  0.7500 (multiplicity 4)

No. 5
Material: BaCoBr2
Method: DFT, PBE-GGA
State: optimized geometry

Computed properties:
Density of states at the Fermi level, states/eV/f.u.: 6.74
Relative energy among the computed polymorphs, meV/atom: 416
Total moment, μB/f.u.: 2.807
Energy, eV/atom: -3.47

abc: 4.1406 4.1406 7.0669
angles: 90.00 90.00 90.00
Space group P4/mmm (No. 123)
Asymmetric unit:
Ba  0.0000  0.0000  0.0000 (multiplicity 1)
Co  0.0000  0.0000  0.5000 (multiplicity 1)
Br  0.5000  0.5000  0.2491 (multiplicity 2)

No. 6
Material: Pm2PrP3
Method: DFT, PBE-GGA
State: optimized geometry

Computed properties:
Density of states at the Fermi level, states/eV/f.u.: 0.75
Total moment, μB/f.u.: 0.000
Energy, eV/atom: -6.63
Formation energy, meV per atom: -1547

abc: 4.1604 5.8750 12.4632
angles: 90.00 90.00 90.00
Space group Immm (No. 71)
Asymmetric unit:
Pm  0.0000  0.0000  0.1665 (multiplicity 4)
Pr  0.0000  0.0000  0.5000 (multiplicity 2)
P  0.0000  0.5000  0.1689 (multiplicity 4)
P  0.0000  0.5000  0.5000 (multiplicity 2)

No. 7
Material: Pr2HoC2I2
Method: DFT, PBE-GGA
State: optimized geometry

Computed properties:
Density of states at the Fermi level, states/eV/f.u.: 1.74
Total moment, μB/f.u.: 0.000
Energy, eV/atom: -5.61

abc: 4.5226 4.5226 19.6969
angles: 90.00 90.00 90.00
Space group I4/mmm (No. 139)
Asymmetric unit:
Pr  0.0000  0.0000  0.0809 (multiplicity 4)
Ho  0.0000  0.0000  0.5000 (multiplicity 2)
C  0.0000  0.5000  0.0000 (multiplicity 4)
I  0.0000  0.0000  0.3352 (multiplicity 4)

No. 8
Material: LiMn2Br
Method: DFT, PBE-GGA
State: optimized geometry

Computed properties:
Density of states at the Fermi level, states/eV/f.u.: 1.55
Relative energy among the computed polymorphs, meV/atom: 327
Total moment, μB/f.u.: 7.573
Energy, eV/atom: -5.10

abc: 3.1053 4.6062 11.5098
angles: 90.00 90.00 90.00
Space group Imm2 (No. 44)
Asymmetric unit:
Li  0.0000  0.0000  0.0000 (multiplicity 2)
Mn  0.0000  0.0000  0.5645 (multiplicity 2)
Mn  0.0000  0.5000  0.8789 (multiplicity 2)
Br  0.0000  0.5000  0.2496 (multiplicity 2)